# DyCu5Ag PBE relaxed
# Crystal system: orthorhombic
# Calculated formation energy (eV per atom): -0.17
data_DyCu5Ag
_chemical_formula_sum 'Dy4 Cu20 Ag4'
_cell_length_a 5.038
_cell_length_b 8.158
_cell_length_c 10.359
_cell_angle_alpha 90.00
_cell_angle_beta 90.00
_cell_angle_gamma 90.00
_space_group_name_H-M_alt 'P 1'
_space_group_IT_number 1
loop_
_space_group_symop_operation_xyz
'x,y,z'
loop_
_atom_site_label
_atom_site_type_symbol
_atom_site_fract_x
_atom_site_fract_y
_atom_site_fract_z
_atom_site_occupancy
Cu1 Cu 0.497 0.068 0.687 1
Cu2 Cu 0.997 0.432 0.187 1
Cu3 Cu 0.250 0.089 0.483 1
Cu4 Cu 0.503 0.432 0.187 1
Cu5 Cu 0.497 0.568 0.813 1
Cu6 Cu 0.750 0.315 0.754 1
Cu7 Cu 0.003 0.568 0.813 1
Cu8 Cu 0.997 0.932 0.313 1
Cu9 Cu 0.250 0.445 0.395 1
Cu10 Cu 0.503 0.932 0.313 1
Cu11 Cu 0.750 0.815 0.746 1
Cu12 Cu 0.250 0.685 0.246 1
Cu13 Cu 0.750 0.555 0.605 1
Cu14 Cu 0.750 0.055 0.895 1
Cu15 Cu 0.250 0.185 0.254 1
Cu16 Cu 0.250 0.945 0.105 1
Cu17 Cu 0.750 0.911 0.517 1
Cu18 Cu 0.250 0.589 0.017 1
Cu19 Cu 0.750 0.411 0.983 1
Cu20 Cu 0.003 0.068 0.687 1
Ag1 Ag 0.750 0.637 0.362 1
Ag2 Ag 0.750 0.137 0.138 1
Ag3 Ag 0.250 0.363 0.638 1
Ag4 Ag 0.250 0.863 0.862 1
Dy1 Dy 0.750 0.756 0.065 1
Dy2 Dy 0.750 0.256 0.435 1
Dy3 Dy 0.250 0.744 0.565 1
Dy4 Dy 0.250 0.244 0.935 1